## NdDyGa (PBE)

Data for a relaxed structure of NdDyGa.

The structure belongs to space group I4mm (No. 107); the cell edges are 3.534, 3.534 and 13.296 Å and the angles 90.00°, 90.00° and 90.00°. The inequivalent atoms are Nd at (0.000, 0.000, 0.000), Dy at (0.000, 0.000, 0.288) and Ga at (0.000, 0.000, 0.652).

The value obtained for the magnetic moment is 0.00 μB per atom. Its uncorrected energy is -4.48 eV per atom. The calculation puts the volume at 27.68 Å³/atom. The energy of formation is -0.347 eV per atom. For the relative energy among the computed polymorphs, the calculation gives 56 meV per atom.